Record 1
# GGA-PBE ZrTi2Al, relaxed
# ΔE_f: -248 meV/atom
data_ZrTi2Al
_chemical_formula_sum 'Zr1 Ti2 Al1'
_symmetry_space_group_name_H-M 'P 4/m m m'
_symmetry_Int_Tables_number 123
_symmetry_space_group_name_Hall '-P 4 2'
_cell_length_a 4.1609
_cell_length_b 4.1609
_cell_length_c 4.1744
_cell_angle_alpha 90.00
_cell_angle_beta 90.00
_cell_angle_gamma 90.00
loop_
_atom_site_label
_atom_site_type_symbol
_atom_site_fract_x
_atom_site_fract_y
_atom_site_fract_z
Zr1 Zr 0.0000 0.0000 0.0000
Ti1 Ti 0.0000 0.5000 0.5000
Al1 Al 0.5000 0.5000 0.0000



Record 2
# GGA-PBE NiSn2Ge2, relaxed
# ΔE_f: 95 meV/atom
data_NiSn2Ge2
_chemical_formula_sum 'Ni2 Sn4 Ge4'
_symmetry_space_group_name_H-M 'P 4/m b m'
_symmetry_Int_Tables_number 127
_symmetry_space_group_name_Hall '-P 4 2ab'
_cell_length_a 6.2855
_cell_length_b 6.2855
_cell_length_c 5.2705
_cell_angle_alpha 90.00
_cell_angle_beta 90.00
_cell_angle_gamma 90.00
loop_
_atom_site_label
_atom_site_type_symbol
_atom_site_fract_x
_atom_site_fract_y
_atom_site_fract_z
Ni1 Ni 0.0000 0.0000 0.0000
Sn1 Sn 0.1811 0.3189 0.5000
Ge1 Ge 0.1465 0.6465 0.0000



Record 3
# GGA-PBE Zr3SbN, relaxed
# E: -8.700 eV per atom
data_Zr3SbN
_chemical_formula_sum 'Zr12 Sb4 N4'
_symmetry_space_group_name_H-M 'C m c m'
_symmetry_Int_Tables_number 63
_symmetry_space_group_name_Hall '-C 2c 2'
_cell_length_a 3.5675
_cell_length_b 11.6853
_cell_length_c 8.8633
_cell_angle_alpha 90.00
_cell_angle_beta 90.00
_cell_angle_gamma 90.00
loop_
_atom_site_label
_atom_site_type_symbol
_atom_site_fract_x
_atom_site_fract_y
_atom_site_fract_z
Zr1 Zr 0.0000 0.0461 0.2500
Zr2 Zr 0.0000 0.3758 0.0466
Sb1 Sb 0.0000 0.2541 0.7500
N1 N 0.0000 0.0000 0.0000



Record 4
# GGA-PBE Ti2InPt2, relaxed
# ΔE_f: -591 meV/atom
data_Ti2InPt2
_chemical_formula_sum 'Ti4 In2 Pt4'
_symmetry_space_group_name_H-M 'I 4/m m m'
_symmetry_Int_Tables_number 139
_symmetry_space_group_name_Hall '-I 4 2'
_cell_length_a 4.3205
_cell_length_b 4.3205
_cell_length_c 10.4598
_cell_angle_alpha 90.00
_cell_angle_beta 90.00
_cell_angle_gamma 90.00
loop_
_atom_site_label
_atom_site_type_symbol
_atom_site_fract_x
_atom_site_fract_y
_atom_site_fract_z
Ti1 Ti 0.0000 0.5000 0.2500
In1 In 0.0000 0.0000 0.0000
Pt1 Pt 0.0000 0.0000 0.3762



Record 5
# GGA-PBE PRh2Se, relaxed
# E: -6.064 eV per atom
data_PRh2Se
_chemical_formula_sum 'P1 Rh2 Se1'
_symmetry_space_group_name_H-M 'P 4 m m'
_symmetry_Int_Tables_number 99
_cell_length_a 3.0272
_cell_length_b 3.0272
_cell_length_c 7.6090
_cell_angle_alpha 90.00
_cell_angle_beta 90.00
_cell_angle_gamma 90.00
loop_
_symmetry_equiv_pos_as_xyz
'x,y,z'
'-y,x,z'
'-x,-y,z'
'y,-x,z'
'-x,y,z'
'y,x,z'
'x,-y,z'
'-y,-x,z'
loop_
_atom_site_label
_atom_site_type_symbol
_atom_site_fract_x
_atom_site_fract_y
_atom_site_fract_z
P1 P 0.0000 0.0000 0.0000
Rh1 Rh 0.0000 0.0000 0.4200
Rh2 Rh 0.5000 0.5000 0.1435
Se1 Se 0.5000 0.5000 0.5868



Record 6
# GGA-PBE V3CoRu2, relaxed
# ΔE_f: -193 meV/atom
data_V3CoRu2
_chemical_formula_sum 'V6 Co2 Ru4'
_symmetry_space_group_name_H-M 'P 1 2/m 1'
_symmetry_Int_Tables_number 10
_cell_length_a 4.2108
_cell_length_b 5.9497
_cell_length_c 6.6652
_cell_angle_alpha 90.00
_cell_angle_beta 108.33
_cell_angle_gamma 90.00
loop_
_symmetry_equiv_pos_as_xyz
'x,y,z'
'-x,-y,-z'
'-x,y,-z'
'x,-y,z'
loop_
_atom_site_label
_atom_site_type_symbol
_atom_site_fract_x
_atom_site_fract_y
_atom_site_fract_z
V1 V 0.0000 0.2461 0.0000
V2 V 0.3298 0.2393 0.6596
Co1 Co 0.1650 0.0000 0.3300
Ru1 Ru 0.1657 0.5000 0.3313
Ru2 Ru 0.5000 0.0000 0.0000
Ru3 Ru 0.5000 0.5000 0.0000